Entry 1:
## InSb2P (PBE)

Data for a relaxed structure of InSb2P.

Cell: 3.9891 2.9940 9.2385 Å, 108.91 90.00 90.00°
Positions (direct):
In  0.5000  0.2500  0.2500
P  0.5000  0.7500  0.7500
Sb  0.0000  0.9713  0.9700
Sb  0.0000  0.5287  0.5300

The crystal system is orthorhombic. The value obtained for the density of states at the Fermi level is 2.70 states/eV/f.u. The uncorrected formation energy comes out at 0.1941 eV/atom.

---

Entry 2:
## Ti2InFe (PBE)

Data for a relaxed structure of Ti2InFe.

Cell: 7.1454 7.1454 5.7254 Å, 51.39 51.39 90.00°
Positions (direct):
Ti  0.5637  0.1250  0.2500
Ti  0.1863  0.6250  0.2500
Ti  0.3750  0.4363  0.7500
Ti  0.8750  0.8137  0.7500
Fe  0.5000  0.5000  0.0000
Fe  0.2500  0.7500  0.5000
In  0.0000  0.0000  0.0000
In  0.7500  0.2500  0.5000

The crystal system is tetragonal. The calculation puts the energy of formation from the pure elements at 0.17 eV per atom. The value obtained for the density of states at the Fermi level is 3.76 states/eV/f.u.

---

Entry 3:
## La6DyHo12 (PBE)

Data for a relaxed structure of La6DyHo12.

Cell: 8.7909 8.7909 8.7909 Å, 98.75 98.75 98.75°
Positions (direct):
La  0.9047  0.3457  0.9047
La  0.9047  0.9047  0.3457
La  0.3457  0.9047  0.9047
La  0.0953  0.0953  0.6543
La  0.0953  0.6543  0.0953
La  0.6543  0.0953  0.0953
Dy  0.0000  0.0000  0.0000
Ho  0.7541  0.2459  0.5000
Ho  0.3548  0.0801  0.3548
Ho  0.3548  0.3548  0.0801
Ho  0.9199  0.6452  0.6452
Ho  0.6452  0.6452  0.9199
Ho  0.6452  0.9199  0.6452
Ho  0.5000  0.7541  0.2459
Ho  0.2459  0.5000  0.7541
Ho  0.2459  0.7541  0.5000
Ho  0.5000  0.2459  0.7541
Ho  0.7541  0.5000  0.2459
Ho  0.0801  0.3548  0.3548

The crystal system is trigonal. The calculation puts the energy of formation from the pure elements at 0.22 eV per atom. The value obtained for the density of states at the Fermi level is 32.24 states/eV/f.u.

---

Entry 4:
## Ac4TeSeS2 (PBE)

Data for a relaxed structure of Ac4TeSeS2.

Cell: 6.3326 6.3326 7.7207 Å, 114.21 114.21 90.00°
Positions (direct):
Ac  0.0061  0.5061  0.0123
Ac  0.4939  0.9939  0.9877
Ac  0.7618  0.7618  0.5236
Ac  0.2382  0.2382  0.4764
Te  0.5000  0.5000  0.0000
Se  0.7500  0.2500  0.5000
S  0.2500  0.7500  0.5000
S  0.0000  0.0000  0.0000

The crystal system is tetragonal. The value obtained for the density of states at the Fermi level is 4.83 states/eV/f.u. The uncorrected formation energy comes out at -1.7777 eV/atom.

---

Entry 5:
## Zn2CuO4 (PBE)

Data for a relaxed structure of Zn2CuO4.

Cell: 6.0006 6.0006 8.3982 Å, 90.00 90.00 90.00°
Positions (direct):
Zn  0.7534  0.7534  0.8750
Zn  0.2466  0.7534  0.1250
Zn  0.7534  0.2466  0.6250
Zn  0.2466  0.2466  0.3750
Zn  0.7462  0.5000  0.2500
Zn  0.5000  0.2538  0.0000
Zn  0.5000  0.7462  0.5000
Zn  0.2538  0.5000  0.7500
Cu  0.0000  0.7516  0.5000
Cu  0.2484  0.0000  0.7500
Cu  0.7516  0.0000  0.2500
Cu  0.0000  0.2484  0.0000
O  0.2367  0.9806  0.5174
O  0.7633  0.9806  0.4826
O  0.0194  0.2367  0.7674
O  0.7633  0.0194  0.0174
O  0.2355  0.4752  0.9993
O  0.5248  0.2355  0.2493
O  0.4752  0.7645  0.7493
O  0.2355  0.5248  0.5007
O  0.7645  0.4752  0.0007
O  0.7645  0.5248  0.4993
O  0.4752  0.2355  0.7507
O  0.5248  0.7645  0.2507
O  0.9806  0.2367  0.2326
O  0.2367  0.0194  0.9826
O  0.9806  0.7633  0.2674
O  0.0194  0.7633  0.7326

The crystal system is tetragonal. The value obtained for the density of states at the Fermi level is 2.67 states/eV/f.u. The uncorrected formation energy comes out at -0.8725 eV/atom.

---

Entry 6:
## RbHfSc (PBE)

Data for a relaxed structure of RbHfSc.

Cell: 13.2792 4.3185 4.4499 Å, 90.00 99.54 90.00°
Positions (direct):
Sc  0.9122  0.2469  0.4566
Sc  0.0878  0.7469  0.5434
Hf  0.9275  0.7465  0.9641
Hf  0.0725  0.2465  0.0359
Rb  0.6556  0.2322  0.8317
Rb  0.3444  0.7322  0.1683

The crystal system is monoclinic. The calculation puts the energy of formation from the pure elements at 0.37 eV per atom. The value obtained for the density of states at the Fermi level is 3.57 states/eV/f.u.

---

Entry 7:
## AcCe5Se8 (PBE)

Data for a relaxed structure of AcCe5Se8.

Cell: 7.8050 7.8050 7.8050 Å, 109.47 109.47 109.47°
Positions (direct):
Ac  0.2500  0.5000  0.7500
Ce  0.9992  0.3739  0.1239
Ce  0.8761  0.8753  0.2501
Ce  0.7499  0.6261  0.6252
Ce  0.5000  0.0000  0.5000
Ce  0.3748  0.1247  0.0008
Se  0.1208  0.7530  0.0301
Se  0.9699  0.0907  0.7228
Se  0.7703  0.2479  0.3721
Se  0.6279  0.3982  0.8759
Se  0.4776  0.6018  0.2297
Se  0.6322  0.9093  0.8792
Se  0.2772  0.2470  0.3678
Se  0.1241  0.7521  0.5224

The crystal system is tetragonal. The value obtained for the density of states at the Fermi level is 31.01 states/eV/f.u. The uncorrected formation energy comes out at -1.8587 eV/atom.

---

Entry 8:
## Y2Pd3Au2 (PBE)

Data for a relaxed structure of Y2Pd3Au2.

Cell: 4.1131 5.3039 9.1922 Å, 124.65 90.00 112.81°
Positions (direct):
Y  0.4257  0.8514  0.2243
Y  0.5743  0.1486  0.7757
Pd  0.0000  0.0000  0.5000
Pd  0.6753  0.3505  0.1437
Pd  0.3247  0.6495  0.8563
Au  0.2239  0.4478  0.3787
Au  0.7761  0.5522  0.6213

The crystal system is monoclinic. The calculation puts the energy of formation from the pure elements at -0.67 eV per atom. The value obtained for the density of states at the Fermi level is 3.34 states/eV/f.u.

---

Entry 9:
## TlAgHg2 (PBE)

Data for a relaxed structure of TlAgHg2.

Cell: 4.9302 4.4659 4.4659 Å, 90.00 90.00 90.00°
Positions (direct):
Tl  0.5000  0.5000  0.0000
Hg  0.0000  0.0000  0.0000
Hg  0.0000  0.5000  0.5000
Ag  0.5000  0.0000  0.5000

The crystal system is tetragonal. The calculation puts the energy of formation from the pure elements at 0.11 eV per atom. The value obtained for the density of states at the Fermi level is 1.59 states/eV/f.u.

---

Entry 10:
## NaPdIN2 (PBE)

Data for a relaxed structure of NaPdIN2.

Cell: 4.1244 4.1244 6.3481 Å, 90.00 90.00 90.00°
Positions (direct):
I  0.0000  0.0000  0.5000
Na  0.5000  0.5000  0.5000
Pd  0.0000  0.0000  0.0000
N  0.0000  0.5000  0.0000
N  0.5000  0.0000  0.0000

The crystal system is tetragonal. The value obtained for the density of states at the Fermi level is 0.77 states/eV/f.u. The uncorrected formation energy comes out at 0.9149 eV/atom.

---

Entry 11:
## BaNa2Sn2Pb2 (PBE)

Data for a relaxed structure of BaNa2Sn2Pb2.

Cell: 5.3601 5.3601 10.0278 Å, 74.50 74.50 60.00°
Positions (direct):
Ba  0.0000  0.0000  0.0000
Na  0.1394  0.1394  0.5818
Na  0.8606  0.8606  0.4182
Sn  0.5813  0.5813  0.2560
Sn  0.4187  0.4187  0.7440
Pb  0.7446  0.7446  0.7662
Pb  0.2554  0.2554  0.2338

The crystal system is trigonal. The calculation puts the energy of formation from the pure elements at -0.24 eV per atom. The value obtained for the density of states at the Fermi level is 5.48 states/eV/f.u.

---

Entry 12:
## H2PtF6 (PBE)

Data for a relaxed structure of H2PtF6.

Cell: 5.5631 6.3923 6.3923 Å, 81.23 81.65 81.65°
Positions (direct):
H  0.3811  0.5691  0.6656
H  0.1189  0.3344  0.4309
H  0.6189  0.4309  0.3344
H  0.8811  0.6656  0.5691
Pt  0.2500  0.0907  0.9093
Pt  0.7500  0.9093  0.0907
F  0.3943  0.7034  0.5791
F  0.1057  0.4209  0.2966
F  0.6057  0.2966  0.4209
F  0.8943  0.5791  0.7034
F  0.8774  0.8666  0.3596
F  0.6226  0.6404  0.1334
F  0.1226  0.1334  0.6404
F  0.3774  0.3596  0.8666
F  0.0946  0.8094  0.9727
F  0.4054  0.0273  0.1906
F  0.9054  0.1906  0.0273
F  0.5946  0.9727  0.8094

The crystal system is monoclinic. As for the final energy: -3.99 eV per atom.

---

Entry 13:
## MnAgHg4 (PBE)

Data for a relaxed structure of MnAgHg4.

Cell: 5.8038 5.8038 5.8038 Å, 60.00 60.00 60.00°
Positions (direct):
Mn  0.7500  0.7500  0.7500
Ag  0.0000  0.0000  0.0000
Hg  0.8749  0.3750  0.3750
Hg  0.3750  0.3750  0.8749
Hg  0.3750  0.8749  0.3750
Hg  0.3750  0.3750  0.3750

The crystal system is cubic. The calculation puts the energy of formation from the pure elements at 0.49 eV per atom. The value obtained for the density of states at the Fermi level is 3.03 states/eV/f.u.

---

Entry 14:
## HfTa2H (PBE)

Data for a relaxed structure of HfTa2H.

Cell: 2.9388 2.9388 8.5517 Å, 80.11 80.11 60.00°
Positions (direct):
H  0.5000  0.5000  0.5000
Hf  0.0000  0.0000  0.0000
Ta  0.1136  0.1136  0.6592
Ta  0.8864  0.8864  0.3408

The crystal system is trigonal. As for the final energy: -8.94 eV per atom. The value obtained for the density of states at the Fermi level is 2.62 states/eV/f.u.

---

Entry 15:
## Ho2Tm3Cd4 (PBE)

Data for a relaxed structure of Ho2Tm3Cd4.

Cell: 6.6653 7.9900 9.8110 Å, 90.00 109.86 90.00°
Positions (direct):
Ho  0.0921  0.6015  0.1842
Ho  0.9079  0.3985  0.8158
Ho  0.4079  0.1015  0.8158
Ho  0.5921  0.8985  0.1842
Tm  0.0000  0.0000  0.0000
Tm  0.5000  0.5000  0.0000
Tm  0.5047  0.7500  0.5095
Tm  0.9953  0.2500  0.4905
Tm  0.4953  0.2500  0.4905
Tm  0.0047  0.7500  0.5095
Cd  0.6746  0.7500  0.8492
Cd  0.8254  0.2500  0.1508
Cd  0.3254  0.2500  0.1508
Cd  0.1746  0.7500  0.8492
Cd  0.1608  0.9810  0.3215
Cd  0.8392  0.0190  0.6785
Cd  0.3392  0.4810  0.6785
Cd  0.6608  0.5190  0.3215

The crystal system is orthorhombic. The calculation puts the energy of formation from the pure elements at -0.14 eV per atom. The value obtained for the density of states at the Fermi level is 7.01 states/eV/f.u.

---

Entry 16:
## Sb2MoBr (PBE)

Data for a relaxed structure of Sb2MoBr.

Cell: 5.4265 5.4265 5.5033 Å, 78.52 78.52 36.26°
Positions (direct):
Sb  0.0357  0.0357  0.9611
Sb  0.4643  0.4643  0.5389
Mo  0.7500  0.7500  0.7500
Br  0.2500  0.2500  0.2500

The crystal system is monoclinic. The value obtained for the density of states at the Fermi level is 3.34 states/eV/f.u. The uncorrected formation energy comes out at 0.4554 eV/atom.

---

Entry 17:
## AcLa5NdEr2 (PBE)

Data for a relaxed structure of AcLa5NdEr2.

Cell: 5.9022 9.3434 12.4892 Å, 90.00 90.00 108.41°
Positions (direct):
Ac  0.6164  0.2328  0.9199
Ac  0.3836  0.7672  0.4199
La  0.4210  0.8420  0.0891
La  0.7706  0.5411  0.7161
La  0.4250  0.8500  0.7726
La  0.2305  0.4610  0.6289
La  0.9379  0.8758  0.5723
La  0.5790  0.1580  0.5891
La  0.2294  0.4589  0.2161
La  0.5750  0.1500  0.2726
La  0.7695  0.5390  0.1289
La  0.0621  0.1242  0.0723
Nd  0.7452  0.4905  0.4222
Nd  0.2548  0.5095  0.9222
Er  0.8900  0.7799  0.9242
Er  0.0621  0.1243  0.7788
Er  0.1100  0.2201  0.4242
Er  0.9379  0.8757  0.2788

The crystal system is orthorhombic. The calculation puts the energy of formation from the pure elements at 0.07 eV per atom. The value obtained for the density of states at the Fermi level is 13.96 states/eV/f.u.

---

Entry 18:
## NaSn2Pb2 (PBE)

Data for a relaxed structure of NaSn2Pb2.

Cell: 9.3347 9.3347 3.6243 Å, 90.00 90.00 90.00°
Positions (direct):
Pb  0.3597  0.8597  0.0000
Pb  0.8597  0.6403  0.0000
Pb  0.6403  0.1403  0.0000
Pb  0.1403  0.3597  0.0000
Na  0.0000  0.0000  0.0000
Na  0.5000  0.5000  0.0000
Sn  0.1550  0.6550  0.5000
Sn  0.6550  0.8450  0.5000
Sn  0.8450  0.3450  0.5000
Sn  0.3450  0.1550  0.5000

The crystal system is tetragonal. The calculation puts the energy of formation from the pure elements at 0.00 eV per atom. The value obtained for the density of states at the Fermi level is 2.65 states/eV/f.u.

---

Entry 19:
## Dy6AuS4 (PBE)

Data for a relaxed structure of Dy6AuS4.

Cell: 3.8954 6.7420 20.1318 Å, 90.00 90.00 106.79°
Positions (direct):
Dy  0.5000  0.0000  0.0000
Dy  0.5000  0.0000  0.5000
Dy  0.0480  0.0959  0.3376
Dy  0.9520  0.9041  0.6624
Dy  0.9520  0.9041  0.8376
Dy  0.0480  0.0959  0.1624
Dy  0.7729  0.5458  0.4149
Dy  0.2271  0.4542  0.5851
Dy  0.2271  0.4542  0.9149
Dy  0.7729  0.5458  0.0851
Dy  0.3317  0.6635  0.2500
Dy  0.6683  0.3365  0.7500
Au  0.6602  0.3203  0.2500
Au  0.3398  0.6797  0.7500
S  0.8617  0.7233  0.5393
S  0.4097  0.8194  0.1229
S  0.1383  0.2767  0.4607
S  0.5903  0.1806  0.8771
S  0.8617  0.7233  0.9607
S  0.1383  0.2767  0.0393
S  0.5903  0.1806  0.6229
S  0.4097  0.8194  0.3771

The crystal system is orthorhombic. The value obtained for the density of states at the Fermi level is 6.36 states/eV/f.u. The uncorrected formation energy comes out at -1.6385 eV/atom.

---

Entry 20:
## ZrAlSi2 (PBE)

Data for a relaxed structure of ZrAlSi2.

Cell: 5.5623 5.5623 7.0521 Å, 90.00 90.00 141.48°
Positions (direct):
Zr  0.4621  0.5379  0.2500
Zr  0.5379  0.4621  0.7500
Al  0.2651  0.7349  0.7500
Al  0.7349  0.2651  0.2500
Si  0.1127  0.8873  0.0463
Si  0.8873  0.1127  0.5463
Si  0.1127  0.8873  0.4537
Si  0.8873  0.1127  0.9537

The crystal system is orthorhombic. The value obtained for the density of states at the Fermi level is 2.46 states/eV/f.u. The uncorrected formation energy comes out at -0.3085 eV/atom.

---

Entry 21:
## Sm2YSi (PBE)

Data for a relaxed structure of Sm2YSi.

Cell: 3.6759 3.6759 11.0521 Å, 80.43 80.43 60.00°
Positions (direct):
Y  0.0000  0.0000  0.0000
Si  0.5000  0.5000  0.5000
Sm  0.1070  0.1070  0.6791
Sm  0.8930  0.8930  0.3209

The crystal system is trigonal. The value obtained for the density of states at the Fermi level is 5.34 states/eV/f.u. The uncorrected formation energy comes out at 0.0416 eV/atom.

---

Entry 22:
## RbMoSe3 (PBE)

Data for a relaxed structure of RbMoSe3.

Cell: 5.4558 5.4558 5.4558 Å, 90.00 90.00 90.00°
Positions (direct):
Mo  0.5000  0.5000  0.5000
Se  0.0000  0.5000  0.0000
Se  0.0000  0.0000  0.5000
Se  0.5000  0.0000  0.0000
Rb  0.0000  0.0000  0.0000

The crystal system is cubic. The value obtained for the density of states at the Fermi level is 22.29 states/eV/f.u. The uncorrected formation energy comes out at 2.1248 eV/atom.